Compound: RbPrBeTe3
Source: OQMD via LeMat-Bulk
Functional: PBE
Structure: optimized geometry

```
RbPrBeTe3
1.0
2.203 -8.271 0.000
2.203 8.271 0.000
0.000 0.000 12.095
Rb Pr Be Te
2 2 2 6
Cartesian
2.203 4.234 9.072
2.203 -4.234 3.024
2.203 0.000 0.000
2.203 0.000 6.048
2.203 7.664 3.024
2.203 -7.664 9.072
2.203 6.225 1.007
2.203 6.225 5.041
2.203 0.945 3.024
2.203 -0.945 9.072
2.203 -6.225 7.054
2.203 -6.225 11.089
```

Calculated values
Total DFT energy (no corrections) (eV per cell): -49.9

***

Compound: ZrAlCu2
Source: OQMD via LeMat-Bulk
Functional: PBE
Structure: optimized geometry

```
ZrAlCu2
1.0
2.984 0.000 0.000
0.000 2.984 0.000
0.000 0.000 6.806
Zr Al Cu
1 1 2
Cartesian
0.000 0.000 0.000
0.000 0.000 3.403
1.492 1.492 1.948
1.492 1.492 4.858
```

Calculated values
Total DFT energy (no corrections) (eV per cell): -20.6

***

Compound: TlReNiMo
Source: OQMD via LeMat-Bulk
Functional: PBE
Structure: optimized geometry

```
TlReNiMo
1.0
0.000 3.173 3.173
3.173 0.000 3.173
3.173 3.173 0.000
Tl Re Ni Mo
1 1 1 1
Cartesian
0.000 0.000 0.000
3.173 3.173 3.173
1.587 1.587 1.587
4.760 4.760 4.760
```

Calculated values
Total DFT energy (no corrections) (eV per cell): -28.5

***

Compound: YZnCoNi
Source: OQMD via LeMat-Bulk
Functional: PBE
Structure: optimized geometry

```
YZnCoNi
1.0
0.000 3.163 3.163
3.163 0.000 3.163
3.163 3.163 0.000
Y Zn Co Ni
1 1 1 1
Cartesian
0.000 0.000 0.000
1.581 1.581 1.581
3.163 3.163 3.163
4.744 4.744 4.744
```

Calculated values
Total DFT energy (no corrections) (eV per cell): -20.3
Formation energy from the elements (eV/atom): 0.023

***

Compound: ThScAg
Source: OQMD via LeMat-Bulk
Functional: PBE
Structure: optimized geometry

```
ThScAg
1.0
0.000 3.485 3.485
3.485 0.000 3.485
3.485 3.485 0.000
Th Sc Ag
1 1 1
Cartesian
0.000 0.000 0.000
3.485 3.485 3.485
5.228 5.228 5.228
```

Calculated values
Total DFT energy (no corrections) (eV per cell): -15.8
Formation energy from the elements (eV/atom): 0.254

***

Compound: Ni15Sn
Source: OQMD via LeMat-Bulk
Functional: PBE
Structure: optimized geometry

```
Ni15Sn
1.0
3.576 0.000 0.000
0.000 7.108 0.000
0.000 0.000 40.338
Ni Sn
60 4
Cartesian
0.894 0.727 0.000
0.894 0.891 19.869
0.894 0.888 23.301
0.894 0.889 26.698
0.894 0.889 30.131
0.894 0.887 33.550
0.894 0.908 16.514
0.894 0.915 36.949
0.894 2.664 21.573
0.894 2.666 24.990
0.894 2.666 28.420
0.894 2.666 31.829
0.894 2.666 35.224
0.894 2.690 18.155
0.894 2.686 38.748
0.894 4.416 36.976
0.894 4.426 16.378
0.894 4.443 19.879
0.894 4.443 23.301
0.894 4.443 26.698
0.894 4.442 30.130
0.894 4.445 33.545
0.894 6.196 18.181
0.894 6.197 38.609
0.894 6.215 35.235
0.894 6.221 21.572
0.894 6.219 24.989
0.894 6.220 28.421
0.894 6.220 31.829
0.894 6.382 14.782
2.682 0.726 14.782
2.682 0.887 21.572
2.682 0.889 24.989
2.682 0.888 28.421
2.682 0.888 31.829
2.682 0.894 35.235
2.682 0.912 18.181
2.682 0.911 38.609
2.682 2.665 19.879
2.682 2.665 23.301
2.682 2.666 26.698
2.682 2.666 30.130
2.682 2.664 33.545
2.682 2.682 16.378
2.682 2.692 36.976
2.682 4.418 18.155
2.682 4.422 38.748
2.682 4.445 21.573
2.682 4.442 24.990
2.682 4.442 28.420
2.682 4.443 31.829
2.682 4.443 35.224
2.682 6.194 36.949
2.682 6.201 16.514
2.682 6.217 19.869
2.682 6.220 23.301
2.682 6.219 26.698
2.682 6.220 30.131
2.682 6.221 33.550
2.682 6.381 0.000
0.894 2.348 14.194
0.894 4.761 0.591
2.682 2.348 0.591
2.682 4.761 14.194
```

Calculated values
Total DFT energy (no corrections) (eV per cell): -346.3

***

Compound: LuGa2Ni
Source: OQMD via LeMat-Bulk
Functional: PBE
Structure: optimized geometry

```
LuGa2Ni
1.0
0.000 3.207 3.207
3.207 0.000 3.207
3.207 3.207 0.000
Lu Ga Ni
1 2 1
Cartesian
0.000 0.000 0.000
3.207 3.207 3.207
4.810 4.810 4.810
1.603 1.603 1.603
```

Calculated values
Total DFT energy (no corrections) (eV per cell): -17.6

***

Compound: Pr2Y2CBr2Cl3
Source: OQMD via LeMat-Bulk
Functional: PBE
Structure: optimized geometry

```
Pr2Y2CBr2Cl3
1.0
8.739 -1.942 0.000
8.739 1.942 0.000
-1.743 0.000 8.041
Pr Y C Br Cl
2 2 1 2 3
Cartesian
-0.432 0.000 2.307
16.167 0.000 5.734
5.524 0.000 3.429
10.210 0.000 4.612
7.867 0.000 4.020
1.541 0.000 6.716
14.193 0.000 1.325
2.457 0.000 2.888
8.739 0.000 0.000
13.277 0.000 5.153
```

Calculated values
Total DFT energy (no corrections) (eV per cell): -56.5

***

Question: Look up the total DFT energy (no corrections) of the first one.
Answer: -49.9 eV per cell